Entry 1:
This record from the Alexandria database describes an optimized crystal structure of LiZrPb2. The functional is PBEsol.

Cell: 3.264 5.287 5.287 Å, 90.00 90.00 90.00°
Positions (direct):
Zr (0.500, 0.376, 0.000)
Li (0.500, 0.874, 0.500)
Pb (0.000, 0.876, 0.000)
Pb (0.000, 0.375, 0.500)

- E (eV/f.u.) = -19.9
- total magnetization (μB/f.u.) = 0.00
- crystal system = orthorhombic
- formation energy (meV/atom) = -220

Entry 2:
This record from the Alexandria database describes an optimized crystal structure of CoBrCl. The functional is PBEsol.

Cell: 4.355 4.355 4.355 Å, 60.00 60.00 60.00°
Last column: magnetic moment on the atom in μB.
Positions (direct):
Co (0.250, 0.250, 0.250)  2.34
Cl (0.500, 0.500, 0.500)  0.22
Br (0.000, 0.000, 0.000)  0.23

- relative energy among the computed polymorphs (eV per atom) = 0.375
- E (eV/f.u.) = -11.5
- total magnetization (μB/f.u.) = 2.89
- crystal system = cubic
- ΔE_f (raw) (eV/atom) = 0.02

> The highest total magnetization belongs to which entry?

CoBrCl

> Look up the total magnetization of the first one.

0.00 μB/f.u.

Copy entry 1 word for word.
This record from the Alexandria database describes an optimized crystal structure of LiZrPb2. The functional is PBEsol.

Cell: 3.264 5.287 5.287 Å, 90.00 90.00 90.00°
Positions (direct):
Zr (0.500, 0.376, 0.000)
Li (0.500, 0.874, 0.500)
Pb (0.000, 0.876, 0.000)
Pb (0.000, 0.375, 0.500)

- E (eV/f.u.) = -19.9
- total magnetization (μB/f.u.) = 0.00
- crystal system = orthorhombic
- formation energy (meV/atom) = -220